Y3VF after structural relaxation, computed with PBE with a Hubbard U.

```
data_Y3VF
_cell_length_a 4.898
_cell_length_b 4.898
_cell_length_c 4.898
_cell_angle_alpha 90.00
_cell_angle_beta 90.00
_cell_angle_gamma 90.00
_space_group_name_H-M_alt 'P m -3 m'
_space_group_IT_number 221
_space_group_name_Hall '-P 4 2 3'
loop_
_atom_site_label
_atom_site_type_symbol
_atom_site_fract_x
_atom_site_fract_y
_atom_site_fract_z
_atom_site_occupancy
Y1 Y 0.000 0.000 0.500 1
V1 V 0.500 0.500 0.500 1
F1 F 0.000 0.000 0.000 1
```

Output
**Density**: 4.8 g/cm³
**Distance to the lowest polymorph of the same formula**: 0 kJ/mol of formula units